This record from the Alexandria database describes a relaxed Li2Ni15Mo2 crystal. The functional is PBE-GGA.

a = 6.173 Å, b = 6.173 Å, c = 6.173 Å
α = 81.84°, β = 81.84°, γ = 81.84°
Fractional coordinates of all 19 atoms:
Li 0.097 0.097 0.097
Li 0.903 0.903 0.903
Ni 0.000 0.000 0.500
Ni 0.000 0.337 0.663
Ni 0.000 0.500 0.000
Ni 0.000 0.663 0.337
Ni 0.173 0.665 0.665
Ni 0.335 0.335 0.827
Ni 0.335 0.827 0.335
Ni 0.337 0.000 0.663
Ni 0.337 0.663 0.000
Ni 0.500 0.000 0.000
Ni 0.663 0.000 0.337
Ni 0.663 0.337 0.000
Ni 0.665 0.173 0.665
Ni 0.665 0.665 0.173
Ni 0.827 0.335 0.335
Mo 0.386 0.386 0.386
Mo 0.614 0.614 0.614

Calculated values
DOS at the Fermi energy: 24.2 states/eV/cell
space-group type: R-3m, No. 166
VASP energy: -5.806 eV per atom
DFT formation energy: 9.7 kJ/mol of atoms